Entry 1:
Density functional theory data (GGA-PBE) for crystalline MnFeTc2 at its relaxed geometry.

Cell: 3.092 4.161 4.165 Å, 90.00 90.00 90.00°
Fractional positions:
Fe 0.500 0.000 0.500
Mn 0.000 0.500 0.500
Tc 0.000 0.000 0.000
Tc 0.500 0.500 0.000

Computed properties:
V = 53.58 Å³ per cell



Entry 2:
Density functional theory data (GGA-PBE) for crystalline MnFe2Tc at its relaxed geometry.

Cell: 2.566 3.595 5.215 Å, 90.00 90.00 90.00°
Fractional positions:
Fe 0.000 0.000 0.011
Fe 0.500 0.500 0.250
Mn 0.000 0.000 0.480
Tc 0.500 0.500 0.758

Computed properties:
V = 48.10 Å³ per cell



The evaluated ΔE_f for the records listed, in turn: 13.4; 10.6 kJ/mol of atoms.
The evaluated VASP energy for the records listed, in turn: -9.45; -9.01 eV/atom.
The evaluated magnetization for the records listed, in turn: 4.677; 1.552 μB/cell.